VASP calculation (PBE-GGA) on crystalline Al2Sn2Pt at its relaxed geometry.

Values from the calculation:
Energy of formation ... -0.8 eV per formula unit
Total DFT energy (no corrections) ... -4.47 eV per atom
N(E_F) ... 0.476 states/eV per atom
Space-group type ... P4/mbm (127)
V ... 105 Å³/f.u.

a b c (Å): 6.593 6.593 4.845
angles (deg): 90.00 90.00 90.00
Fractional positions:
Al 0.356 0.856 0.000
Al 0.644 0.144 0.000
Al 0.144 0.356 0.000
Al 0.856 0.644 0.000
Sn 0.173 0.673 0.500
Sn 0.327 0.173 0.500
Sn 0.673 0.827 0.500
Sn 0.827 0.327 0.500
Pt 0.000 0.000 0.000
Pt 0.500 0.500 0.000

---

VASP calculation (PBE-GGA) on crystalline Sr2Al3SnPt4 at its relaxed geometry.

Values from the calculation:
Energy of formation ... -9.5 eV per formula unit
Total DFT energy (no corrections) ... -5.22 eV per atom
N(E_F) ... 0.381 states/eV per atom
Space-group type ... P-4m2 (115)
V ... 209 Å³/f.u.

a b c (Å): 4.524 4.524 10.211
angles (deg): 90.00 90.00 90.00
Fractional positions:
Pt 0.000 0.000 0.000
Pt 0.000 0.500 0.362
Pt 0.500 0.500 0.000
Pt 0.500 0.000 0.638
Sn 0.500 0.500 0.500
Sr 0.500 0.000 0.240
Sr 0.000 0.500 0.760
Al 0.500 0.000 0.884
Al 0.000 0.500 0.116
Al 0.000 0.000 0.500

---

VASP calculation (PBE-GGA) on crystalline Sr2AlSn3Pt4 at its relaxed geometry.

Values from the calculation:
Energy of formation ... -8.3 eV per formula unit
Total DFT energy (no corrections) ... -5.15 eV per atom
N(E_F) ... 0.508 states/eV per atom
Space-group type ... P-4m2 (115)
V ... 228 Å³/f.u.

a b c (Å): 4.565 4.565 10.948
angles (deg): 90.00 90.00 90.00
Fractional positions:
Sr 0.000 0.500 0.750
Sr 0.500 0.000 0.250
Sn 0.000 0.000 0.500
Sn 0.000 0.500 0.131
Sn 0.500 0.000 0.869
Al 0.500 0.500 0.500
Pt 0.000 0.000 0.000
Pt 0.500 0.000 0.624
Pt 0.000 0.500 0.376
Pt 0.500 0.500 0.000